1.
A geometry-optimized CoCuSiHg structure, computed with PBE.

a b c (Å): 6.079 6.079 6.079
angles (deg): 90.00 90.00 90.00
Space group F-43m (No. 216)
Inequivalent atoms, fractional coordinates:
Co  0.000  0.000  0.000
Cu  0.000  0.000  0.500
Si  0.250  0.250  0.750
Hg  0.250  0.250  0.250

Output
- crystal system = cubic
- relative energy among the computed polymorphs (meV per atom) = 0.0

***

2.
A geometry-optimized NaPrSO structure, computed with PBE.

a b c (Å): 4.076 4.076 9.364
angles (deg): 90.00 90.00 90.00
Space group P4/nmm (No. 129, origin choice 2)
Inequivalent atoms, fractional coordinates:
Na  0.250  0.750  0.000
Pr  0.250  0.250  0.373
S  0.250  0.250  0.806
O  0.250  0.750  0.500

Output
- crystal system = tetragonal
- relative energy among the computed polymorphs (meV per atom) = 0.0

***

3.
A geometry-optimized LaCuTeOs structure, computed with PBE.

a b c (Å): 6.900 6.900 6.900
angles (deg): 90.00 90.00 90.00
Space group F-43m (No. 216)
Inequivalent atoms, fractional coordinates:
La  0.000  0.000  0.000
Cu  0.250  0.250  0.250
Te  0.000  0.000  0.500
Os  0.250  0.250  0.750

Output
- crystal system = cubic
- relative energy among the computed polymorphs (meV per atom) = 0.0

***

4.
A geometry-optimized Zr2AlSn2 structure, computed with PBE.

a b c (Å): 4.046 4.046 14.555
angles (deg): 90.00 90.00 90.00
Space group I4/mmm (No. 139)
Inequivalent atoms, fractional coordinates:
Zr  0.000  0.000  0.095
Al  0.000  0.000  0.500
Sn  0.000  0.500  0.250

Output
- DFT total energy (eV/atom) = -5.744
- crystal system = tetragonal

***

5.
A geometry-optimized Zn2CoSn structure, computed with PBE.

a b c (Å): 6.244 6.244 6.244
angles (deg): 90.00 90.00 90.00
Space group F-43m (No. 216)
Inequivalent atoms, fractional coordinates:
Zn  0.000  0.000  0.000
Zn  0.250  0.250  0.250
Co  0.250  0.250  0.750
Sn  0.000  0.000  0.500

Output
- DFT total energy (eV/atom) = -3.195
- crystal system = cubic

***

6.
A geometry-optimized GdAgGeSeS2 structure, computed with PBE.

a b c (Å): 3.916 12.834 10.862
angles (deg): 90.00 90.00 90.00
Space group Cmcm (No. 63)
Inequivalent atoms, fractional coordinates:
Gd  0.000  0.000  0.000
Ag  0.000  0.475  0.250
Ge  0.000  0.224  0.750
Se  0.000  0.117  0.250
S  0.000  0.359  0.068

Output
- DFT total energy (eV/atom) = -4.765
- crystal system = orthorhombic

***

7.
A geometry-optimized NdSiHg structure, computed with PBE.

a b c (Å): 7.040 7.040 7.040
angles (deg): 90.00 90.00 90.00
Space group F-43m (No. 216)
Inequivalent atoms, fractional coordinates:
Nd  0.000  0.000  0.000
Si  0.250  0.250  0.250
Hg  0.250  0.250  0.750

Output
- DFT total energy (eV/atom) = -3.509
- crystal system = cubic

***

8.
A geometry-optimized DyNiPt structure, computed with PBE.

a b c (Å): 6.141 6.141 6.141
angles (deg): 90.00 90.00 90.00
Space group F-43m (No. 216)
Inequivalent atoms, fractional coordinates:
Dy  0.000  0.000  0.000
Ni  0.250  0.250  0.250
Pt  0.000  0.000  0.500

Output
- DFT total energy (eV/atom) = -6.013
- crystal system = cubic

***

9.
A geometry-optimized TbErAu6 structure, computed with PBE.

a b c (Å): 5.028 6.153 5.132
angles (deg): 90.00 90.00 90.00
Space group Pmm2 (No. 25)
Inequivalent atoms, fractional coordinates:
Tb  0.000  0.000  0.000
Er  0.500  0.500  0.688
Au  0.000  0.259  0.506
Au  0.000  0.500  0.008
Au  0.500  0.000  0.675
Au  0.500  0.246  0.182

Output
- DFT total energy (eV/atom) = -4.324
- crystal system = orthorhombic

***

10.
A geometry-optimized DyY2Sn3Ir2Pd structure, computed with PBE.

a b c (Å): 3.850 13.194 7.625
angles (deg): 90.00 90.00 90.00
Space group Amm2 (No. 38)
Inequivalent atoms, fractional coordinates:
Dy  0.000  0.000  0.000
Y  0.000  0.204  0.388
Sn  0.500  0.000  0.327
Sn  0.500  0.133  0.725
Ir  0.500  0.165  0.091
Pd  0.000  0.000  0.593

Output
- DFT total energy (eV/atom) = -6.691
- crystal system = orthorhombic

***

11.
A geometry-optimized ErScFe structure, computed with PBE.

a b c (Å): 6.356 6.356 6.356
angles (deg): 90.00 90.00 90.00
Space group F-43m (No. 216)
Inequivalent atoms, fractional coordinates:
Er  0.000  0.000  0.000
Sc  0.000  0.000  0.500
Fe  0.250  0.250  0.250

Output
- crystal system = cubic
- relative energy among the computed polymorphs (meV per atom) = 0.0

***

12.
A geometry-optimized YAgPb2 structure, computed with PBE.

a b c (Å): 7.564 7.564 7.564
angles (deg): 90.00 90.00 90.00
Space group F-43m (No. 216)
Inequivalent atoms, fractional coordinates:
Y  0.000  0.000  0.000
Ag  0.250  0.250  0.250
Pb  0.000  0.000  0.500
Pb  0.250  0.250  0.750

Output
- DFT total energy (eV/atom) = -4.299
- crystal system = cubic

***

13.
A geometry-optimized NiSn2Hg structure, computed with PBE.

a b c (Å): 7.045 7.045 7.045
angles (deg): 90.00 90.00 90.00
Space group F-43m (No. 216)
Inequivalent atoms, fractional coordinates:
Ni  0.000  0.000  0.000
Sn  0.000  0.000  0.500
Sn  0.250  0.250  0.750
Hg  0.250  0.250  0.250

Output
- DFT total energy (eV/atom) = -3.124
- crystal system = cubic

***

14.
A geometry-optimized ZrCdAgPd structure, computed with PBE.

a b c (Å): 6.682 6.682 6.682
angles (deg): 90.00 90.00 90.00
Space group F-43m (No. 216)
Inequivalent atoms, fractional coordinates:
Zr  0.000  0.000  0.000
Cd  0.250  0.250  0.750
Ag  0.250  0.250  0.250
Pd  0.000  0.000  0.500

Output
- crystal system = cubic
- relative energy among the computed polymorphs (meV per atom) = 151.9

***

15.
A geometry-optimized BaHoOs structure, computed with PBE.

a b c (Å): 7.051 7.051 7.051
angles (deg): 90.00 90.00 90.00
Space group F-43m (No. 216)
Inequivalent atoms, fractional coordinates:
Ba  0.000  0.000  0.000
Ho  0.000  0.000  0.500
Os  0.250  0.250  0.250

Output
- crystal system = cubic
- relative energy among the computed polymorphs (meV per atom) = 0.0

***

16.
A geometry-optimized NaTlOs structure, computed with PBE.

a b c (Å): 6.583 6.583 6.583
angles (deg): 90.00 90.00 90.00
Space group F-43m (No. 216)
Inequivalent atoms, fractional coordinates:
Na  0.000  0.000  0.000
Tl  0.000  0.000  0.500
Os  0.250  0.250  0.250

Output
- crystal system = cubic
- relative energy among the computed polymorphs (meV per atom) = 0.0

***

17.
A geometry-optimized DyThRe structure, computed with PBE.

a b c (Å): 6.782 6.782 6.782
angles (deg): 90.00 90.00 90.00
Space group F-43m (No. 216)
Inequivalent atoms, fractional coordinates:
Dy  0.000  0.000  0.000
Th  0.250  0.250  0.250
Re  0.250  0.250  0.750

Output
- crystal system = cubic
- relative energy among the computed polymorphs (meV per atom) = 0.0

***

18.
A geometry-optimized GaAgB2 structure, computed with PBE.

a b c (Å): 5.931 5.931 5.931
angles (deg): 90.00 90.00 90.00
Space group F-43m (No. 216)
Inequivalent atoms, fractional coordinates:
Ga  0.000  0.000  0.000
Ag  0.250  0.250  0.250
B  0.000  0.000  0.500
B  0.250  0.250  0.750

Output
- DFT total energy (eV/atom) = -3.289
- crystal system = cubic

***

19.
A geometry-optimized HgPd5O structure, computed with PBE.

a b c (Å): 3.913 3.913 7.055
angles (deg): 90.00 90.00 90.00
Space group P4/mmm (No. 123)
Inequivalent atoms, fractional coordinates:
Hg  0.000  0.000  0.000
Pd  0.000  0.500  0.299
Pd  0.500  0.500  0.000
O  0.500  0.500  0.500

Output
- DFT total energy (eV/atom) = -4.360
- crystal system = tetragonal

***

20.
A geometry-optimized FeAgSnPt structure, computed with PBE.

a b c (Å): 6.447 6.447 6.447
angles (deg): 90.00 90.00 90.00
Space group F-43m (No. 216)
Inequivalent atoms, fractional coordinates:
Fe  0.000  0.000  0.000
Ag  0.250  0.250  0.250
Sn  0.250  0.250  0.750
Pt  0.000  0.000  0.500

Output
- crystal system = cubic
- relative energy among the computed polymorphs (meV per atom) = 0.0